Entry 1:
Here is a relaxed structure of Nb4SnN3 from OQMD via LeMat-Bulk. Energies are from PBE.

```
Nb4SnN3
1.0
-1.2359 2.9772 -0.2507
-1.8475 -2.4335 1.0575
6.6674 4.6494 22.3480
Nb N Sn
8 6 2
Direct
0.6667 0.3333 0.9447 Nb
0.0000 0.0000 0.6501 Nb
0.3333 0.6667 0.4447 Nb
0.3333 0.6667 0.0553 Nb
0.6667 0.3333 0.5553 Nb
0.0000 0.0000 0.1501 Nb
0.0000 0.0000 0.3499 Nb
0.0000 0.0000 0.8499 Nb
0.6667 0.3333 0.3937 N
0.3333 0.6667 0.6063 N
0.0000 0.0000 0.0000 N
0.0000 0.0000 0.5000 N
0.6667 0.3333 0.1063 N
0.3333 0.6667 0.8937 N
0.6667 0.3333 0.7500 Sn
0.3333 0.6667 0.2500 Sn
```

Space-group type   P6_3/mmc, No. 194
Calculated total energy   -9.35 eV/atom
Theoretical density   8.21 g/cm3

***

Entry 2:
Here is a relaxed structure of TlW from OQMD via LeMat-Bulk. Energies are from PBE.

```
TlW
1.0
0.0000 3.1156 3.1156
3.1156 0.0000 3.1156
3.1156 3.1156 0.0000
Tl W
1 1
Direct
0.0000 0.0000 0.0000 Tl
0.2500 0.2500 0.2500 W
```

Space-group type   F-43m, No. 216
Calculated total energy   -4.81 eV/atom
Theoretical density   10.66 g/cm3

***

Entry 3:
Here is a relaxed structure of PrEr2N3 from OQMD via LeMat-Bulk. Energies are from PBE.

```
PrEr2N3
1.0
3.4952 0.0000 0.0000
-1.7476 3.0269 0.0000
0.0000 0.0000 8.5890
N Er Pr
3 2 1
Direct
0.3333 0.6667 0.3185 N
0.6667 0.3333 0.6815 N
0.0000 0.0000 0.0000 N
0.3333 0.6667 0.8401 Er
0.6667 0.3333 0.1599 Er
0.0000 0.0000 0.5000 Pr
```

Space-group type   P-3m1, No. 164
Calculated total energy   -8.06 eV/atom
Theoretical density   9.46 g/cm3

***

Entry 4:
Here is a relaxed structure of InTeIrAuSe2 from OQMD via LeMat-Bulk. Energies are from PBE.

```
InTeIrAuSe2
1.0
1.8918 -7.3020 0.0000
1.8918 7.3020 0.0000
0.0000 0.0000 10.4837
Au In Te Se Ir
2 2 2 4 2
Direct
0.1553 0.8447 0.7500 Au
0.8447 0.1553 0.2500 Au
0.2029 0.7971 0.2500 In
0.7971 0.2029 0.7500 In
0.5398 0.4602 0.2500 Te
0.4602 0.5398 0.7500 Te
0.1139 0.8861 0.5151 Se
0.1139 0.8861 0.9849 Se
0.8861 0.1139 0.4849 Se
0.8861 0.1139 0.0151 Se
0.5000 0.5000 0.0000 Ir
0.5000 0.5000 0.5000 Ir
```

Space-group type   Cmcm, No. 63
Calculated total energy   -4.35 eV/atom
Theoretical density   9.05 g/cm3

***

Entry 5:
Here is a relaxed structure of Gd3TlCd2Pt2Au from OQMD via LeMat-Bulk. Energies are from PBE.

```
Gd3TlCd2Pt2Au
1.0
-2.5915 0.8682 -2.7454
-0.6552 -7.5827 -1.7794
-4.6706 3.1647 5.4096
Cd Pt Gd Tl Au
2 2 3 1 1
Direct
0.5000 0.7348 0.0016 Cd
0.5000 0.0016 0.7348 Cd
0.5000 0.6728 0.3355 Pt
0.5000 0.3355 0.6728 Pt
0.0000 0.9976 0.4087 Gd
0.0000 0.4087 0.9976 Gd
0.0000 0.5938 0.5938 Gd
0.5000 0.2645 0.2645 Tl
0.0000 0.9907 0.9907 Au
```

Space-group type   Amm2, No. 38
Calculated total energy   -4.51 eV/atom
Theoretical density   12.06 g/cm3

***

Entry 6:
Here is a relaxed structure of GdMgZn from OQMD via LeMat-Bulk. Energies are from PBE.

```
GdMgZn
1.0
4.8273 0.0000 0.0000
-2.4137 4.1806 0.0000
0.0000 0.0000 10.2687
Mg Gd Zn
3 3 3
Direct
0.0000 0.0000 0.4410 Mg
0.3333 0.6667 0.2597 Mg
0.3333 0.6667 0.8026 Mg
0.6667 0.3333 0.9558 Gd
0.0000 0.0000 0.1241 Gd
0.6667 0.3333 0.6204 Gd
0.0000 0.0000 0.8087 Zn
0.3333 0.6667 0.5196 Zn
0.6667 0.3333 0.2825 Zn
```

Space-group type   P3m1, No. 156
Calculated total energy   -2.58 eV/atom
Theoretical density   5.94 g/cm3